Entry 1:
The following is a GGA-PBE calculation of a geometry-optimized Si2TeSe2 structure, from Alexandria via LeMat-Bulk.

Cell lengths 4.621, 4.621, 10.745 Å; angles 90.00, 90.00, 90.00 degrees
Space group I4/mmm (No. 139)
Unique sites:
Si 0.000 0.500 0.250 x4
Te 0.000 0.000 0.000 x2
Se 0.000 0.000 0.347 x4

Properties
* ΔE_f (raw): 0.297 eV/atom
* V: 22.942 Å³/atom
* ΔE to the lowest computed polymorph: 0.35 eV per formula unit
* mass density: 4.9 g/cm³
* DOS at the Fermi energy: 3.24 states/eV per cell
* total magnetization: 0.00 μB per formula unit
* total energy: -3.895 eV/atom


Entry 2:
The following is a GGA-PBE calculation of a geometry-optimized SiTeSe2 structure, from Alexandria via LeMat-Bulk.

Cell lengths 5.502, 3.614, 6.409 Å; angles 90.00, 98.46, 90.00 degrees
Space group Pm (No. 6)
Unique sites:
Si 0.000 0.000 0.000 x1
Te 0.359 0.500 0.908 x1
Se 0.659 0.000 0.726 x1
Se 0.961 0.500 0.237 x1

Properties
* ΔE_f (raw): -0.037 eV/atom
* V: 31.511 Å³/atom
* ΔE to the lowest computed polymorph: 0.60 eV per formula unit
* mass density: 4.1 g/cm³
* DOS at the Fermi energy: 0.32 states/eV per cell
* total magnetization: 0.00 μB per formula unit
* total energy: -3.920 eV/atom


What did the second record say?
The following is a GGA-PBE calculation of a geometry-optimized SiTeSe2 structure, from Alexandria via LeMat-Bulk.

Cell lengths 5.502, 3.614, 6.409 Å; angles 90.00, 98.46, 90.00 degrees
Space group Pm (No. 6)
Unique sites:
Si 0.000 0.000 0.000 x1
Te 0.359 0.500 0.908 x1
Se 0.659 0.000 0.726 x1
Se 0.961 0.500 0.237 x1

Properties
* ΔE_f (raw): -0.037 eV/atom
* V: 31.511 Å³/atom
* ΔE to the lowest computed polymorph: 0.60 eV per formula unit
* mass density: 4.1 g/cm³
* DOS at the Fermi energy: 0.32 states/eV per cell
* total magnetization: 0.00 μB per formula unit
* total energy: -3.920 eV/atom